Computed, not measured: NiGeBAu after structural relaxation at the GGA-PBE level of DFT.

a b c (Å): 5.965 5.965 5.965
angles (deg): 90.00 90.00 90.00
Sites, in units of the cell vectors:
Ni1 0.000 0.000 0.000
Ni2 0.000 0.500 0.500
Ni3 0.500 0.000 0.500
Ni4 0.500 0.500 0.000
Ge1 0.250 0.250 0.250
Ge2 0.250 0.750 0.750
Ge3 0.750 0.250 0.750
Ge4 0.750 0.750 0.250
B1 0.250 0.250 0.750
B2 0.250 0.750 0.250
B3 0.750 0.250 0.250
B4 0.750 0.750 0.750
Au1 0.000 0.000 0.500
Au2 0.000 0.500 0.000
Au3 0.500 0.000 0.000
Au4 0.500 0.500 0.500

Properties
Energy (eV/atom): -4.305
Magnetic moment (μB/cell): 0.0